(1)
The following is a DFT calculation (GGA-PBEsol) of MnFe2P3O12 after structural relaxation.

Cell lengths 8.383, 8.383, 8.383 Å; angles 61.36, 61.36, 61.36 degrees
Positions (direct):
Mn  0.000  0.000  0.000
Mn  0.500  0.500  0.500
Fe  0.146  0.146  0.146
Fe  0.354  0.354  0.354
Fe  0.646  0.646  0.646
Fe  0.854  0.854  0.854
P  0.047  0.750  0.453
P  0.250  0.547  0.953
P  0.453  0.047  0.750
P  0.547  0.953  0.250
P  0.750  0.453  0.047
P  0.953  0.250  0.547
O  0.001  0.825  0.610
O  0.059  0.908  0.252
O  0.092  0.748  0.941
O  0.110  0.325  0.501
O  0.175  0.390  0.999
O  0.248  0.592  0.441
O  0.252  0.059  0.908
O  0.325  0.501  0.110
O  0.390  0.999  0.175
O  0.408  0.559  0.752
O  0.441  0.248  0.592
O  0.499  0.890  0.675
O  0.501  0.110  0.325
O  0.559  0.752  0.408
O  0.592  0.441  0.248
O  0.610  0.001  0.825
O  0.675  0.499  0.890
O  0.748  0.941  0.092
O  0.752  0.408  0.559
O  0.825  0.610  0.001
O  0.890  0.675  0.499
O  0.908  0.252  0.059
O  0.941  0.092  0.748
O  0.999  0.175  0.390

Values from the calculation:
E_form (uncorrected)	-1.796	eV per atom
space-group type	R-3c
energy	-7.7994	eV per atom

(2)
The following is a DFT calculation (GGA-PBEsol) of Mn3FeP6O24 after structural relaxation.

Cell lengths 8.964, 8.964, 8.964 Å; angles 62.69, 62.69, 62.69 degrees
Positions (direct):
Mn  0.000  0.000  0.000
Mn  0.098  0.098  0.098
Mn  0.347  0.347  0.347
Fe  0.483  0.483  0.483
P  0.021  0.737  0.854
P  0.180  0.463  0.821
P  0.463  0.821  0.180
P  0.737  0.854  0.021
P  0.821  0.180  0.463
P  0.854  0.021  0.737
O  0.003  0.121  0.343
O  0.032  0.523  0.284
O  0.070  0.885  0.193
O  0.116  0.453  0.686
O  0.120  0.783  0.919
O  0.121  0.343  0.003
O  0.193  0.070  0.885
O  0.199  0.492  0.214
O  0.214  0.199  0.492
O  0.239  0.501  0.505
O  0.284  0.032  0.523
O  0.343  0.003  0.121
O  0.367  0.470  0.734
O  0.453  0.686  0.116
O  0.470  0.734  0.367
O  0.492  0.214  0.199
O  0.501  0.505  0.239
O  0.505  0.239  0.501
O  0.523  0.284  0.032
O  0.686  0.116  0.453
O  0.734  0.367  0.470
O  0.783  0.919  0.120
O  0.885  0.193  0.070
O  0.919  0.120  0.783

Values from the calculation:
E_form (uncorrected)	-0.916	eV per atom
space-group type	R3
energy	-6.7680	eV per atom

(3)
The following is a DFT calculation (GGA-PBEsol) of MnFe2Sb2P6O24 after structural relaxation.

Cell lengths 8.549, 8.549, 8.549 Å; angles 58.18, 58.18, 58.18 degrees
Positions (direct):
Mn  0.000  0.000  0.000
Fe  0.141  0.141  0.141
Fe  0.859  0.859  0.859
Sb  0.358  0.358  0.358
Sb  0.642  0.642  0.642
P  0.032  0.763  0.461
P  0.237  0.539  0.968
P  0.461  0.032  0.763
P  0.539  0.968  0.237
P  0.763  0.461  0.032
P  0.968  0.237  0.539
O  0.001  0.179  0.383
O  0.102  0.753  0.898
O  0.102  0.898  0.247
O  0.159  0.230  0.531
O  0.179  0.383  0.001
O  0.189  0.552  0.491
O  0.230  0.531  0.159
O  0.247  0.102  0.898
O  0.383  0.001  0.179
O  0.448  0.509  0.811
O  0.469  0.841  0.770
O  0.491  0.189  0.552
O  0.509  0.811  0.448
O  0.531  0.159  0.230
O  0.552  0.491  0.189
O  0.617  0.999  0.821
O  0.753  0.898  0.102
O  0.770  0.469  0.841
O  0.811  0.448  0.509
O  0.821  0.617  0.999
O  0.841  0.770  0.469
O  0.898  0.102  0.753
O  0.898  0.247  0.102
O  0.999  0.821  0.617

Values from the calculation:
E_form (uncorrected)	-1.800	eV per atom
space-group type	R-3
energy	-7.4442	eV per atom